Version one
Computed, not measured: a relaxed structure of TbPmBiPb at the GGA-PBE level of DFT.

Output
As for the space group: No. 216. The density is 9.9 g cm⁻³. As for the density of states at the Fermi level: 6.19 states/eV/cell. The total magnetization comes out at 0.0 μB/cell.

Lattice parameters (Å, degrees): 5.550 5.550 5.550 60.00 60.00 60.00
Atoms (fractional coordinates):
Pm1 0.000 0.000 0.000
Tb1 0.500 0.500 0.500
Pb1 0.250 0.250 0.250
Bi1 0.750 0.750 0.750



Version two
Computed, not measured: a relaxed structure of TbPmBiPb at the GGA-PBE level of DFT.

Output
As for the space group: No. 10. The density is 9.1 g cm⁻³. As for the density of states at the Fermi level: 3.01 states/eV/cell. The total magnetization comes out at 0.0 μB/cell.

Lattice parameters (Å, degrees): 4.529 4.520 6.389 90.20 90.00 90.00
Atoms (fractional coordinates):
Tb1 0.500 0.391 0.093
Pm1 0.000 0.892 0.592
Bi1 0.000 0.891 0.092
Pb1 0.500 0.392 0.593



Which is most stable, and by how much? version two, by 0.141 eV/atom.



Version one
Computed, not measured: a relaxed structure of PmTmBiPb at the GGA-PBE level of DFT.

Output
As for the space group: No. 160. The density is 9.5 g cm⁻³. As for the density of states at the Fermi level: 1.22 states/eV/cell. The total magnetization comes out at 0.0 μB/cell.

Lattice parameters (Å, degrees): 4.352 4.352 8.202 74.62 74.62 60.00
Atoms (fractional coordinates):
Tm1 0.196 0.196 0.412
Bi1 0.941 0.941 0.177
Pm1 0.692 0.692 0.923
Pb1 0.447 0.447 0.658



Version two
Computed, not measured: a relaxed structure of PmTmBiPb at the GGA-PBE level of DFT.

Output
As for the space group: No. 216. The density is 10.2 g cm⁻³. As for the density of states at the Fermi level: 5.48 states/eV/cell. The total magnetization comes out at 0.0 μB/cell.

Lattice parameters (Å, degrees): 5.521 5.521 5.521 60.00 60.00 60.00
Atoms (fractional coordinates):
Pm1 0.000 0.000 0.000
Bi1 0.750 0.750 0.750
Tm1 0.500 0.500 0.500
Pb1 0.250 0.250 0.250



Which is most stable, and by how much? version one, by 0.149 eV/atom.